Computed, not measured: crystalline BeHSe at its relaxed geometry at the GGA-PBE level of DFT.

a = 3.6548 Å, b = 3.6541 Å, c = 9.5699 Å
α = 86.88°, β = 87.18°, γ = 59.99°
Positions (direct):
Be: 0.3302 0.3385 0.7342
Be: 0.0089 0.0215 0.5714
Se: 0.9908 0.9969 0.8132
Se: 0.3481 0.3631 0.4925
H: 0.6430 0.6200 0.1844
H: 0.6909 0.7385 0.1265

crystal system: triclinic
density: 2.68 g/cm3
energy above the most stable polymorph in this dataset: 0 meV/atom
total magnetization: 0.00 Bohr magnetons per cell